# PBE NdSiTc2Ge2, relaxed
# Total energy (hartree per atom): -0.2555
data_NdSiTc2Ge2
_cell_length_a 4.502
_cell_length_b 4.502
_cell_length_c 5.622
_cell_angle_alpha 90.00
_cell_angle_beta 90.00
_cell_angle_gamma 90.00
_space_group_name_H-M_alt 'P 4/m m m'
_space_group_IT_number 123
_space_group_name_Hall '-P 4 2'
loop_
_atom_site_label
_atom_site_fract_x
_atom_site_fract_y
_atom_site_fract_z
Nd1 0.000 0.000 0.000
Si1 0.000 0.000 0.500
Tc1 0.000 0.500 0.500
Ge1 0.500 0.500 0.232

# PBE Nd6SiGe2Te3, relaxed
# Total energy (hartree per atom): -0.2048
data_Nd6SiGe2Te3
_cell_length_a 19.349
_cell_length_b 4.381
_cell_length_c 8.897
_cell_angle_alpha 90.00
_cell_angle_beta 104.83
_cell_angle_gamma 90.00
_space_group_name_H-M_alt 'C 1 2/m 1'
_space_group_IT_number 12
loop_
_space_group_symop_operation_xyz
'x,y,z'
'-x,-y,-z'
'-x,y,-z'
'x,-y,z'
'x+1/2,y+1/2,z'
'-x+1/2,-y+1/2,-z'
'-x+1/2,y+1/2,-z'
'x+1/2,-y+1/2,z'
loop_
_atom_site_label
_atom_site_fract_x
_atom_site_fract_y
_atom_site_fract_z
Nd1 0.005 0.000 0.234
Nd2 0.160 0.500 0.096
Nd3 0.172 0.500 0.569
Si1 0.000 0.500 0.000
Ge1 0.167 0.000 0.333
Te1 0.000 0.500 0.500
Te2 0.167 0.000 0.833

# PBE Nd4SiGeTe2, relaxed
# Total energy (hartree per atom): -0.2054
data_Nd4SiGeTe2
_cell_length_a 7.566
_cell_length_b 4.378
_cell_length_c 7.755
_cell_angle_alpha 90.00
_cell_angle_beta 109.00
_cell_angle_gamma 90.00
_space_group_name_H-M_alt 'P 1 2/m 1'
_space_group_IT_number 10
loop_
_space_group_symop_operation_xyz
'x,y,z'
'-x,-y,-z'
'-x,y,-z'
'x,-y,z'
loop_
_atom_site_label
_atom_site_fract_x
_atom_site_fract_y
_atom_site_fract_z
Nd1 0.240 0.000 0.224
Nd2 0.258 0.500 0.776
Si1 0.000 0.500 0.000
Ge1 0.500 0.000 0.000
Te1 0.000 0.000 0.500
Te2 0.500 0.500 0.500

# PBE Nd6Si2GeTe3, relaxed
# Total energy (hartree per atom): -0.2060
data_Nd6Si2GeTe3
_cell_length_a 19.341
_cell_length_b 4.375
_cell_length_c 8.893
_cell_angle_alpha 90.00
_cell_angle_beta 104.93
_cell_angle_gamma 90.00
_space_group_name_H-M_alt 'C 1 2/m 1'
_space_group_IT_number 12
loop_
_space_group_symop_operation_xyz
'x,y,z'
'-x,-y,-z'
'-x,y,-z'
'x,-y,z'
'x+1/2,y+1/2,z'
'-x+1/2,-y+1/2,-z'
'-x+1/2,y+1/2,-z'
'x+1/2,-y+1/2,z'
loop_
_atom_site_label
_atom_site_fract_x
_atom_site_fract_y
_atom_site_fract_z
Nd1 0.006 0.000 0.237
Nd2 0.162 0.500 0.099
Nd3 0.173 0.500 0.568
Si1 0.167 0.000 0.333
Ge1 0.000 0.500 0.000
Te1 0.000 0.500 0.500
Te2 0.166 0.000 0.833

# PBE NdSm3Ge4, relaxed
# DFT formation energy (eV/atom): -0.650
data_NdSm3Ge4
_cell_length_a 4.059
_cell_length_b 6.541
_cell_length_c 16.252
_cell_angle_alpha 90.00
_cell_angle_beta 90.00
_cell_angle_gamma 90.00
_space_group_name_H-M_alt 'I m m m'
_space_group_IT_number 71
_space_group_name_Hall '-I 2 2'
loop_
_atom_site_label
_atom_site_fract_x
_atom_site_fract_y
_atom_site_fract_z
Nd1 0.000 0.000 0.000
Sm1 0.000 0.000 0.500
Sm2 0.000 0.500 0.303
Ge1 0.000 0.310 0.132

# PBE Nd2SmGe2, relaxed
# DFT formation energy (eV/atom): -0.672
# ΔE to the lowest computed polymorph (eV/atom): 0.078
data_Nd2SmGe2
_cell_length_a 12.581
_cell_length_b 4.481
_cell_length_c 10.850
_cell_angle_alpha 90.00
_cell_angle_beta 116.47
_cell_angle_gamma 90.00
_space_group_name_H-M_alt 'C 1 2/m 1'
_space_group_IT_number 12
loop_
_space_group_symop_operation_xyz
'x,y,z'
'-x,-y,-z'
'-x,y,-z'
'x,-y,z'
'x+1/2,y+1/2,z'
'-x+1/2,-y+1/2,-z'
'-x+1/2,y+1/2,-z'
'x+1/2,-y+1/2,z'
loop_
_atom_site_label
_atom_site_fract_x
_atom_site_fract_y
_atom_site_fract_z
Nd1 0.015 0.000 0.187
Nd2 0.180 0.000 0.587
Sm1 0.219 0.500 0.858
Ge1 0.026 0.500 0.395
Ge2 0.115 0.500 0.062

# PBE NdSm2Ge, relaxed
# DFT formation energy (eV/atom): -0.241
# ΔE to the lowest computed polymorph (eV/atom): 0.205
data_NdSm2Ge
_cell_length_a 3.8865
_cell_length_b 3.8865
_cell_length_c 29.3786
_cell_angle_alpha 90.00
_cell_angle_beta 90.00
_cell_angle_gamma 120.00
_space_group_name_H-M_alt 'R 3 m'
_space_group_IT_number 160
_space_group_name_Hall 'R 3 -2"'
loop_
_atom_site_label
_atom_site_fract_x
_atom_site_fract_y
_atom_site_fract_z
Nd1 0.0000 0.0000 0.0000
Sm1 0.0000 0.0000 0.5631
Sm2 0.0000 0.0000 0.7683
Ge1 0.0000 0.0000 0.1654

# PBE Nd2SmGe2, relaxed
# DFT formation energy (eV/atom): -0.750
# ΔE to the lowest computed polymorph (eV/atom): 0.000
data_Nd2SmGe2
_cell_length_a 7.830
_cell_length_b 7.830
_cell_length_c 4.382
_cell_angle_alpha 90.00
_cell_angle_beta 90.00
_cell_angle_gamma 90.00
_space_group_name_H-M_alt 'P 4/m b m'
_space_group_IT_number 127
_space_group_name_Hall '-P 4 2ab'
loop_
_atom_site_label
_atom_site_fract_x
_atom_site_fract_y
_atom_site_fract_z
Nd1 0.174 0.326 0.000
Sm1 0.000 0.000 0.500
Ge1 0.120 0.620 0.500

# PBE Nd5Sm5Ge6, relaxed
# DFT formation energy (eV/atom): -0.727
data_Nd5Sm5Ge6
_cell_length_a 6.653
_cell_length_b 15.209
_cell_length_c 8.798
_cell_angle_alpha 90.00
_cell_angle_beta 90.00
_cell_angle_gamma 90.00
_space_group_name_H-M_alt 'A m m 2'
_space_group_IT_number 38
loop_
_space_group_symop_operation_xyz
'x,y,z'
'-x,-y,z'
'-x,y,z'
'x,-y,z'
'x,y+1/2,z+1/2'
'-x,-y+1/2,z+1/2'
'-x,y+1/2,z+1/2'
'x,-y+1/2,z+1/2'
loop_
_atom_site_label
_atom_site_fract_x
_atom_site_fract_y
_atom_site_fract_z
Nd1 0.000 0.000 0.000
Nd2 0.000 0.122 0.369
Nd3 0.500 0.123 0.123
Sm1 0.250 0.167 0.746
Sm2 0.500 0.000 0.493
Ge1 0.000 0.000 0.641
Ge2 0.000 0.197 0.049
Ge3 0.500 0.000 0.851
Ge4 0.500 0.196 0.444

# PBE Nd3SmGe4, relaxed
# DFT formation energy (eV/atom): -0.664
data_Nd3SmGe4
_cell_length_a 4.151
_cell_length_b 6.533
_cell_length_c 16.301
_cell_angle_alpha 90.00
_cell_angle_beta 90.00
_cell_angle_gamma 90.00
_space_group_name_H-M_alt 'I m m m'
_space_group_IT_number 71
_space_group_name_Hall '-I 2 2'
loop_
_atom_site_label
_atom_site_fract_x
_atom_site_fract_y
_atom_site_fract_z
Nd1 0.000 0.000 0.000
Nd2 0.000 0.500 0.196
Sm1 0.000 0.000 0.500
Ge1 0.000 0.310 0.369

# PBE NdSm2Ge, relaxed
# DFT formation energy (eV/atom): -0.229
# ΔE to the lowest computed polymorph (eV/atom): 0.217
data_NdSm2Ge
_cell_length_a 3.8252
_cell_length_b 3.8252
_cell_length_c 30.0588
_cell_angle_alpha 90.00
_cell_angle_beta 90.00
_cell_angle_gamma 120.00
_space_group_name_H-M_alt 'R -3 m'
_space_group_IT_number 166
_space_group_name_Hall '-R 3 2"'
loop_
_atom_site_label
_atom_site_fract_x
_atom_site_fract_y
_atom_site_fract_z
Nd1 0.0000 0.0000 0.0000
Sm1 0.0000 0.0000 0.2313
Ge1 0.0000 0.0000 0.5000

# PBE NdSm3Ge2, relaxed
# DFT formation energy (eV/atom): -0.572
# ΔE to the lowest computed polymorph (eV/atom): 0.000
data_NdSm3Ge2
_cell_length_a 17.583
_cell_length_b 4.440
_cell_length_c 9.462
_cell_angle_alpha 90.00
_cell_angle_beta 114.69
_cell_angle_gamma 90.00
_space_group_name_H-M_alt 'C 1 2/m 1'
_space_group_IT_number 12
loop_
_space_group_symop_operation_xyz
'x,y,z'
'-x,-y,-z'
'-x,y,-z'
'x,-y,z'
'x+1/2,y+1/2,z'
'-x+1/2,-y+1/2,-z'
'-x+1/2,y+1/2,-z'
'x+1/2,-y+1/2,z'
loop_
_atom_site_label
_atom_site_fract_x
_atom_site_fract_y
_atom_site_fract_z
Nd1 0.115 0.000 0.131
Sm1 0.048 0.000 0.696
Sm2 0.152 0.500 0.476
Sm3 0.191 0.500 0.885
Ge1 0.008 0.500 0.866
Ge2 0.238 0.000 0.714

Ordered magnetization results: 0.00 0.00 0.00 0.00 0.00 0.00 0.00 0.00 0.00 0.00 0.00 0.00; unit μB per atom.
Ordered DOS(E_F) results: 0.635 0.200 0.199 0.206 0.837 0.662 1.332 1.081 0.915 0.903 1.347 0.988; unit states/eV/atom.